P) # Ti2Fe2Ni (GGA-PBE, relaxed)
data_Ti2Fe2Ni
_cell_length_a 6.194
_cell_length_b 6.194
_cell_length_c 3.415
_cell_angle_alpha 90.00
_cell_angle_beta 90.00
_cell_angle_gamma 90.00
_space_group_name_H-M_alt 'P 4/m b m'
_space_group_IT_number 127
_space_group_name_Hall '-P 4 2ab'
loop_
_atom_site_label
_atom_site_type_symbol
_atom_site_fract_x
_atom_site_fract_y
_atom_site_fract_z
_atom_site_occupancy
Ti1 Ti 0.184 0.316 0.000 1
Fe1 Fe 0.126 0.626 0.500 1
Ni1 Ni 0.000 0.000 0.500 1
# - size of the total moment (μB per formula unit) = 0.0
# - V (Å³/cell) = 131.01

---

Q) # Ti2Fe2Ni (GGA-PBE, relaxed)
data_Ti2Fe2Ni
_cell_length_a 3.221
_cell_length_b 3.221
_cell_length_c 13.785
_cell_angle_alpha 90.00
_cell_angle_beta 90.00
_cell_angle_gamma 90.00
_space_group_name_H-M_alt 'I 4/m m m'
_space_group_IT_number 139
_space_group_name_Hall '-I 4 2'
loop_
_atom_site_label
_atom_site_type_symbol
_atom_site_fract_x
_atom_site_fract_y
_atom_site_fract_z
_atom_site_occupancy
Ti1 Ti 0.000 0.000 0.104 1
Fe1 Fe 0.000 0.500 0.250 1
Ni1 Ni 0.000 0.000 0.500 1
# - size of the total moment (μB per formula unit) = 2.8
# - V (Å³/cell) = 143.05

---

P) wins, 0.271 eV/atom ahead of the next structure.

---

P) # TlFe2Ni (GGA-PBE, relaxed)
data_TlFe2Ni
_cell_length_a 3.069
_cell_length_b 3.087
_cell_length_c 6.120
_cell_angle_alpha 90.00
_cell_angle_beta 90.00
_cell_angle_gamma 90.00
_space_group_name_H-M_alt 'P m m 2'
_space_group_IT_number 25
loop_
_space_group_symop_operation_xyz
'x,y,z'
'-x,-y,z'
'-x,y,z'
'x,-y,z'
loop_
_atom_site_label
_atom_site_type_symbol
_atom_site_fract_x
_atom_site_fract_y
_atom_site_fract_z
_atom_site_occupancy
Tl1 Tl 0.000 0.000 0.000 1
Fe1 Fe 0.000 0.000 0.503 1
Fe2 Fe 0.500 0.500 0.300 1
Ni1 Ni 0.500 0.500 0.716 1
# - size of the total moment (μB per formula unit) = 5.7
# - V (Å³/cell) = 57.98

---

Q) # TlFe2Ni (GGA-PBE, relaxed)
data_TlFe2Ni
_cell_length_a 2.9690
_cell_length_b 2.9690
_cell_length_c 23.9980
_cell_angle_alpha 90.00
_cell_angle_beta 90.00
_cell_angle_gamma 120.00
_space_group_name_H-M_alt 'R 3 m'
_space_group_IT_number 160
_space_group_name_Hall 'R 3 -2"'
loop_
_atom_site_label
_atom_site_type_symbol
_atom_site_fract_x
_atom_site_fract_y
_atom_site_fract_z
_atom_site_occupancy
Tl1 Tl 0.0000 0.0000 0.0000 1
Fe1 Fe 0.0000 0.0000 0.5014 1
Fe2 Fe 0.0000 0.0000 0.7632 1
Ni1 Ni 0.0000 0.0000 0.2426 1
# - size of the total moment (μB per formula unit) = 5.6
# - V (Å³/cell) = 183.20

---

P) wins, 0.187 eV/atom ahead of the next structure.

---

P) # TlFe2Ni (GGA-PBE, relaxed)
data_TlFe2Ni
_cell_length_a 3.663
_cell_length_b 3.663
_cell_length_c 18.670
_cell_angle_alpha 90.00
_cell_angle_beta 90.00
_cell_angle_gamma 90.00
_space_group_name_H-M_alt 'I -4 2 d'
_space_group_IT_number 122
_space_group_name_Hall 'I -4 2bw'
loop_
_atom_site_label
_atom_site_type_symbol
_atom_site_fract_x
_atom_site_fract_y
_atom_site_fract_z
_atom_site_occupancy
Tl1 Tl 0.000 0.000 0.000 1
Fe1 Fe 0.223 0.250 0.625 1
Ni1 Ni 0.000 0.000 0.500 1
# - size of the total moment (μB per formula unit) = 5.6
# - V (Å³/cell) = 250.46

---

Q) # TlFe2Ni (GGA-PBE, relaxed)
data_TlFe2Ni
_cell_length_a 3.966
_cell_length_b 3.966
_cell_length_c 7.182
_cell_angle_alpha 90.00
_cell_angle_beta 90.00
_cell_angle_gamma 90.00
_space_group_name_H-M_alt 'I -4 m 2'
_space_group_IT_number 119
_space_group_name_Hall 'I -4 -2'
loop_
_atom_site_label
_atom_site_type_symbol
_atom_site_fract_x
_atom_site_fract_y
_atom_site_fract_z
_atom_site_occupancy
Tl1 Tl 0.000 0.000 0.000 1
Fe1 Fe 0.000 0.000 0.500 1
Fe2 Fe 0.000 0.500 0.250 1
Ni1 Ni 0.000 0.500 0.750 1
# - size of the total moment (μB per formula unit) = 5.2
# - V (Å³/cell) = 112.96

---

R) # TlFe2Ni (GGA-PBE, relaxed)
data_TlFe2Ni
_cell_length_a 2.8807
_cell_length_b 2.8807
_cell_length_c 25.4290
_cell_angle_alpha 90.00
_cell_angle_beta 90.00
_cell_angle_gamma 120.00
_space_group_name_H-M_alt 'R -3 m'
_space_group_IT_number 166
_space_group_name_Hall '-R 3 2"'
loop_
_atom_site_label
_atom_site_type_symbol
_atom_site_fract_x
_atom_site_fract_y
_atom_site_fract_z
_atom_site_occupancy
Tl1 Tl 0.0000 0.0000 0.0000 1
Fe1 Fe 0.0000 0.0000 0.2400 1
Ni1 Ni 0.0000 0.0000 0.5000 1
# - size of the total moment (μB per formula unit) = 6.0
# - V (Å³/cell) = 182.75

---

S) # TlFe2Ni (GGA-PBE, relaxed)
data_TlFe2Ni
_cell_length_a 5.309
_cell_length_b 7.786
_cell_length_c 2.828
_cell_angle_alpha 90.00
_cell_angle_beta 90.00
_cell_angle_gamma 90.00
_space_group_name_H-M_alt 'C m m m'
_space_group_IT_number 65
_space_group_name_Hall '-C 2 2'
loop_
_atom_site_label
_atom_site_type_symbol
_atom_site_fract_x
_atom_site_fract_y
_atom_site_fract_z
_atom_site_occupancy
Tl1 Tl 0.000 0.000 0.000 1
Fe1 Fe 0.250 0.250 0.500 1
Ni1 Ni 0.000 0.500 0.000 1
# - size of the total moment (μB per formula unit) = 5.8
# - V (Å³/cell) = 116.88

---

Q) wins, 0.133 eV/atom ahead of the next structure.